# 1
Compound: Be2SiSe
Source: Alexandria via LeMat-Bulk
Functional: GGA-PBE
Structure: relaxed

Summary:
As for the total energy: -3.281 eV/atom. The formation energy without anion corrections is 0.8094 eV/atom. The symmetry is F-43m.

Cell lengths 4.235, 4.235, 4.235 Å; angles 60.00, 60.00, 60.00 degrees
Positions (direct):
Be1 0.000 0.000 0.000
Be2 0.250 0.250 0.250
Si1 0.750 0.750 0.750
Se1 0.500 0.500 0.500

# 2
Compound: BeSiSe2
Source: Alexandria via LeMat-Bulk
Functional: GGA-PBE
Structure: relaxed

Summary:
As for the total energy: -3.777 eV/atom. The formation energy without anion corrections is 0.2522 eV/atom. The symmetry is Cmm2.

Cell lengths 3.173, 3.173, 9.124 Å; angles 90.00, 90.00, 115.80 degrees
Positions (direct):
Be1 0.000 0.000 0.000
Si1 0.500 0.500 0.222
Se1 0.000 0.000 0.416
Se2 0.500 0.500 0.850

# 3
Compound: BeSiSe3
Source: Alexandria via LeMat-Bulk
Functional: GGA-PBE
Structure: relaxed

Summary:
As for the total energy: -3.522 eV/atom. The formation energy without anion corrections is 0.3989 eV/atom. The symmetry is Pm-3m.

Cell lengths 4.590, 4.590, 4.590 Å; angles 90.00, 90.00, 90.00 degrees
Positions (direct):
Be1 0.000 0.000 0.000
Si1 0.500 0.500 0.500
Se1 0.000 0.000 0.500
Se2 0.000 0.500 0.000
Se3 0.500 0.000 0.000